No. 1
! Mg2CrMo GGA-PBE relaxed; values from VASP
&SYSTEM
  ibrav = 0, nat = 4, ntyp = 3
/
ATOMIC_SPECIES
Cr 52.00 Cr.upf
Mg 24.30 Mg.upf
Mo 95.94 Mo.upf
CELL_PARAMETERS angstrom
-1.720 0.132 2.028
-1.577 -0.982 -1.907
2.300 -8.563 2.507
ATOMIC_POSITIONS angstrom
Cr 0.076 -6.847 1.941
Mg 2.279 -8.484 2.484
Mg 1.171 -4.360 1.277
Mo -1.074 -2.566 0.687
! offset from the most stable computed form = 0.2529 eV per atom
! ΔH_f (0 K) = 1.91 eV/f.u.
! crystal system = orthorhombic
! Fermi-level density of states = 2.9 states/eV per cell

=====

No. 2
! Mg2CrMo GGA-PBE relaxed; values from VASP
&SYSTEM
  ibrav = 0, nat = 4, ntyp = 3
/
ATOMIC_SPECIES
Cr 52.00 Cr.upf
Mg 24.30 Mg.upf
Mo 95.94 Mo.upf
CELL_PARAMETERS angstrom
2.834 -0.009 0.000
-1.083 2.619 0.000
0.000 0.000 9.250
ATOMIC_POSITIONS angstrom
Cr 0.876 1.305 6.727
Mg 0.000 0.000 9.015
Mg 0.876 1.305 2.473
Mo 0.000 0.000 4.911
! offset from the most stable computed form = 0.0556 eV per atom
! ΔH_f (0 K) = 1.12 eV/f.u.
! crystal system = orthorhombic
! Fermi-level density of states = 2.7 states/eV per cell

=====

No. 3
! Mg2CrMo GGA-PBE relaxed; values from VASP
&SYSTEM
  ibrav = 0, nat = 4, ntyp = 3
/
ATOMIC_SPECIES
Cr 52.00 Cr.upf
Mg 24.30 Mg.upf
Mo 95.94 Mo.upf
CELL_PARAMETERS angstrom
-2.957 -3.412 -1.874
0.771 -2.820 3.918
-2.305 1.253 1.356
ATOMIC_POSITIONS angstrom
Cr -0.767 -0.784 2.637
Mg 0.000 0.000 0.000
Mg -1.093 -3.116 1.022
Mo -2.631 -1.080 -0.259
! offset from the most stable computed form = 0.3918 eV per atom
! ΔH_f (0 K) = 2.47 eV/f.u.
! crystal system = tetragonal
! Fermi-level density of states = 1.8 states/eV per cell

=====

Repeat the third record exactly.
! Mg2CrMo GGA-PBE relaxed; values from VASP
&SYSTEM
  ibrav = 0, nat = 4, ntyp = 3
/
ATOMIC_SPECIES
Cr 52.00 Cr.upf
Mg 24.30 Mg.upf
Mo 95.94 Mo.upf
CELL_PARAMETERS angstrom
-2.957 -3.412 -1.874
0.771 -2.820 3.918
-2.305 1.253 1.356
ATOMIC_POSITIONS angstrom
Cr -0.767 -0.784 2.637
Mg 0.000 0.000 0.000
Mg -1.093 -3.116 1.022
Mo -2.631 -1.080 -0.259
! offset from the most stable computed form = 0.3918 eV per atom
! ΔH_f (0 K) = 2.47 eV/f.u.
! crystal system = tetragonal
! Fermi-level density of states = 1.8 states/eV per cell